No. 1
ScAl3Fe | PBE | relaxed

energy of formation from the pure elements = -0.164 eV per atom
total magnetic moment = 0.0 Bohr magnetons per cell
V = 17.57 Å³/atom
polymorph energy (0 for the lowest one) = 0.164 eV/atom
E = -5.37 eV per atom

Lattice parameters (Å, degrees): 4.4455 4.4455 4.4455 90.00 90.00 90.00
Last column: nearest neighbours and their distance in Å.
Atoms (fractional coordinates):
1 Sc 0.5000 0.5000 0.5000  12 Al 3.14
2 Fe 0.0000 0.0000 0.0000  6 Al 2.22
3 Al 0.0000 0.5000 0.0000  2 Fe 2.22
4 Al 0.0000 0.0000 0.5000  2 Fe 2.22
5 Al 0.5000 0.0000 0.0000  2 Fe 2.22


No. 2
ZnInW2 | PBE | relaxed

energy of formation from the pure elements = 0.663 eV per atom
total magnetic moment = 0.0 Bohr magnetons per cell
V = 17.21 Å³/atom
polymorph energy (0 for the lowest one) = 0.322 eV/atom
E = -6.82 eV per atom

Lattice parameters (Å, degrees): 3.3722 3.3722 6.0539 90.00 90.00 90.00
Last column: nearest neighbours and their distance in Å.
Atoms (fractional coordinates):
1 In 0.5000 0.5000 0.7500  8 W 2.99, 2 Zn 3.03
2 W 0.0000 0.0000 0.0471  1 W 2.46, 4 Zn 2.68
3 W 0.0000 0.0000 0.4529  1 W 2.46, 4 Zn 2.68
4 Zn 0.5000 0.5000 0.2500  8 W 2.68